(w)
# ErPuPa

A geometry-optimized ErPuPa structure (PBE, Alexandria via LeMat-Bulk).

M_tot = 2.047 μB per atom
Symmetry = P-6m2 (187)

a = 3.3014 Å, b = 5.2413 Å, c = 5.2413 Å
α = 120.00°, β = 90.00°, γ = 90.00°
With the nearest neighbours (Å) after each atom.
Element x y z (fractional)
Pa1 0.1667 0.6667 0.3333  3 Pu 3.03, 2 Pa 3.30
Pu1 0.1666 0.0000 0.0000  3 Pa 3.03, 2 Pu 3.30
Er1 0.6667 0.3333 0.6667  2 Er 3.30, 6 Pu 3.45, 6 Pa 3.45

(x)
# ErPuPa

A geometry-optimized ErPuPa structure (PBE, Alexandria via LeMat-Bulk).

M_tot = 2.579 μB per atom
Symmetry = R-3m (166)

a = 5.4289 Å, b = 5.4289 Å, c = 7.3913 Å
α = 68.45°, β = 68.45°, γ = 60.00°
With the nearest neighbours (Å) after each atom.
Element x y z (fractional)
Pa1 0.4325 0.4325 0.7024  1 Pa 2.71, 1 Pu 2.74
Er1 0.8765 0.8765 0.3706  3 Pa 3.17, 1 Pu 3.46
Pu1 0.7041 0.7041 0.8876  1 Pa 2.74
Er2 0.1235 0.1235 0.6294  3 Pa 3.17, 1 Pu 3.46
Pa2 0.5675 0.5675 0.2976  1 Pa 2.71, 1 Pu 2.74
Pu2 0.2959 0.2959 0.1124  1 Pa 2.74

(y)
# ErPuPa

A geometry-optimized ErPuPa structure (PBE, Alexandria via LeMat-Bulk).

M_tot = 1.916 μB per atom
Symmetry = I4mm (107)

a = 3.4047 Å, b = 3.4047 Å, c = 7.2693 Å
α = 103.54°, β = 103.54°, γ = 90.00°
With the nearest neighbours (Å) after each atom.
Element x y z (fractional)
Pu1 0.6823 0.6823 0.3646  4 Pa 3.10, 4 Pu 3.40
Pa1 0.3242 0.3242 0.6484  4 Pu 3.10, 4 Er 3.35, 4 Pa 3.40
Er1 0.9935 0.9935 0.9870  4 Pa 3.35, 4 Er 3.40, 4 Pu 3.54

(y) wins, 8.6 kJ/mol of atoms ahead of the next structure.

(w)
# ErPaRh

A geometry-optimized ErPaRh structure (PBE, Alexandria via LeMat-Bulk).

M_tot = 0.182 μB per atom
Symmetry = F-43m (216)

a = 4.7691 Å, b = 4.7691 Å, c = 4.7691 Å
α = 60.00°, β = 60.00°, γ = 60.00°
With the nearest neighbours (Å) after each atom.
Element x y z (fractional)
Er1 0.0000 0.0000 0.0000  4 Rh 2.92
Rh1 0.2500 0.2500 0.2500  4 Pa 2.92, 4 Er 2.92
Pa1 0.5000 0.5000 0.5000  4 Rh 2.92

(x)
# ErPaRh

A geometry-optimized ErPaRh structure (PBE, Alexandria via LeMat-Bulk).

M_tot = 0.000 μB per atom
Symmetry = I4mm (107)

a = 3.5476 Å, b = 3.5476 Å, c = 6.0119 Å
α = 107.16°, β = 107.16°, γ = 90.00°
With the nearest neighbours (Å) after each atom.
Element x y z (fractional)
Er1 0.0066 0.0066 0.0133  5 Rh 3.20-3.47, 5 Pa 3.26-3.34, 4 Er 3.55
Rh1 0.6887 0.6887 0.3774  4 Pa 2.81
Pa1 0.3046 0.3046 0.6093  4 Rh 2.81

(y)
# ErPaRh

A geometry-optimized ErPaRh structure (PBE, Alexandria via LeMat-Bulk).

M_tot = 0.000 μB per atom
Symmetry = P2_1/c (14)

a = 6.8132 Å, b = 6.4542 Å, c = 7.0112 Å
α = 100.21°, β = 90.00°, γ = 90.00°
With the nearest neighbours (Å) after each atom.
Element x y z (fractional)
Er1 0.4601 0.7393 0.9571  4 Rh 2.90-3.08
Rh1 0.2930 0.0120 0.7120  3 Pa 2.66-2.83, 2 Er 2.90-2.92
Rh2 0.7070 0.9880 0.2880  3 Pa 2.66-2.83, 2 Er 2.90-2.92
Er2 0.9601 0.7607 0.5429  4 Rh 2.90-3.08
Er3 0.0399 0.2393 0.4571  4 Rh 2.90-3.08
Pa1 0.0296 0.2124 0.9626  3 Rh 2.66-2.83, 1 Pa 2.91
Rh3 0.2070 0.5120 0.2120  3 Pa 2.66-2.83, 2 Er 2.90-2.92
Er4 0.5399 0.2607 0.0429  4 Rh 2.90-3.08
Pa2 0.9704 0.7876 0.0374  3 Rh 2.66-2.83, 1 Pa 2.91
Pa3 0.4704 0.7124 0.4626  3 Rh 2.66-2.83, 1 Pa 2.91
Rh4 0.7930 0.4880 0.7880  3 Pa 2.66-2.83, 2 Er 2.90-2.92
Pa4 0.5296 0.2876 0.5374  3 Rh 2.66-2.83, 1 Pa 2.91

(x) wins, 8.8 kJ/mol of atoms ahead of the next structure.

(w)
# Er3PaRu3

A geometry-optimized Er3PaRu3 structure (PBE, Alexandria via LeMat-Bulk).

M_tot = 0.000 μB per atom
Symmetry = R3m (160)

a = 5.7778 Å, b = 5.9513 Å, c = 5.7778 Å
α = 110.08°, β = 108.85°, γ = 110.08°
With the nearest neighbours (Å) after each atom.
Element x y z (fractional)
Er1 0.4010 0.9987 0.0000  6 Ru 2.85-3.11
Er2 0.0000 0.9987 0.4010  6 Ru 2.85-3.11
Er3 0.5990 0.5977 0.5990  6 Ru 2.85-3.11
Ru1 0.0000 0.5000 0.4624  1 Pa 2.52
Ru2 0.4624 0.5000 0.0000  1 Pa 2.52
Ru3 0.5376 0.0376 0.5376  1 Pa 2.52
Pa1 0.0000 0.3921 0.0000  3 Ru 2.52

(x)
# Er3PaRu3

A geometry-optimized Er3PaRu3 structure (PBE, Alexandria via LeMat-Bulk).

M_tot = 0.000 μB per atom
Symmetry = C2/m (12)

a = 6.9512 Å, b = 6.9512 Å, c = 6.5639 Å
α = 86.33°, β = 86.33°, γ = 84.16°
With the nearest neighbours (Å) after each atom.
Element x y z (fractional)
Ru1 0.0702 0.0702 0.8047  1 Pa 2.48
Er1 0.1857 0.8143 0.5000  4 Ru 2.79-3.03
Pa1 0.2113 0.2113 0.0926  3 Ru 2.48-2.49
Ru2 0.9298 0.9298 0.1953  1 Pa 2.48
Er2 0.8143 0.1857 0.5000  4 Ru 2.79-3.03
Er3 0.3146 0.3146 0.5502  5 Ru 2.84-3.13
Ru3 0.5078 0.9873 0.7598  1 Pa 2.49
Er4 0.7092 0.2908 0.0000  6 Ru 2.90-3.19
Ru4 0.9873 0.5078 0.7598  1 Pa 2.49
Er5 0.2908 0.7092 0.0000  6 Ru 2.90-3.19
Ru5 0.4922 0.0127 0.2402  1 Pa 2.49
Ru6 0.0127 0.4922 0.2402  1 Pa 2.49
Pa2 0.7887 0.7887 0.9074  3 Ru 2.48-2.49
Er6 0.6854 0.6854 0.4498  5 Ru 2.84-3.13

(w) wins, 7.2 kJ/mol of atoms ahead of the next structure.

(w)
# Er2PaRu

A geometry-optimized Er2PaRu structure (PBE, Alexandria via LeMat-Bulk).

M_tot = 0.227 μB per atom
Symmetry = P4/mmm (123)

a = 3.3427 Å, b = 3.3427 Å, c = 8.4874 Å
α = 90.00°, β = 90.00°, γ = 90.00°
With the nearest neighbours (Å) after each atom.
Element x y z (fractional)
Er1 0.0000 0.0000 0.8048  4 Ru 2.89
Ru1 0.5000 0.5000 0.0000  8 Er 2.89
Pa1 0.5000 0.5000 0.5000  4 Pa 3.34, 8 Er 3.50
Er2 0.0000 0.0000 0.1952  4 Ru 2.89

(x)
# Er2PaRu

A geometry-optimized Er2PaRu structure (PBE, Alexandria via LeMat-Bulk).

M_tot = 0.000 μB per atom
Symmetry = R-3m (166)

a = 3.2469 Å, b = 3.2469 Å, c = 10.7520 Å
α = 81.32°, β = 81.32°, γ = 60.00°
With the nearest neighbours (Å) after each atom.
Element x y z (fractional)
Er1 0.1019 0.1019 0.6944  3 Ru 2.78
Ru1 0.5000 0.5000 0.5000  6 Er 2.78
Er2 0.8981 0.8981 0.3056  3 Ru 2.78
Pa1 0.0000 0.0000 0.0000  2 Er 3.24, 6 Pa 3.25

(w) wins, 24.6 kJ/mol of atoms ahead of the next structure.

(w)
# ErPa2Ru

A geometry-optimized ErPa2Ru structure (PBE, Alexandria via LeMat-Bulk).

M_tot = 0.000 μB per atom
Symmetry = R-3m (166)

a = 4.8062 Å, b = 4.8062 Å, c = 5.3782 Å
α = 63.46°, β = 63.46°, γ = 60.00°
With the nearest neighbours (Å) after each atom.
Element x y z (fractional)
Er1 0.5000 0.5000 0.5000  8 Pa 3.05-3.35
Pa1 0.2579 0.2579 0.2264  3 Ru 2.96, 3 Er 3.05
Ru1 0.0000 0.0000 0.0000  6 Pa 2.96
Pa2 0.7421 0.7421 0.7736  3 Ru 2.96, 3 Er 3.05

(x)
# ErPa2Ru

A geometry-optimized ErPa2Ru structure (PBE, Alexandria via LeMat-Bulk).

M_tot = 0.000 μB per atom
Symmetry = P4/mmm (123)

a = 3.5825 Å, b = 3.5825 Å, c = 7.5341 Å
α = 90.00°, β = 90.00°, γ = 90.00°
With the nearest neighbours (Å) after each atom.
Element x y z (fractional)
Ru1 0.5000 0.5000 0.0000  8 Pa 2.92
Pa1 0.0000 0.0000 0.1924  1 Pa 2.90, 4 Ru 2.92
Er1 0.5000 0.5000 0.5000  8 Pa 3.43, 4 Er 3.58, 2 Ru 3.77
Pa2 0.0000 0.0000 0.8076  1 Pa 2.90, 4 Ru 2.92

(x) wins, 25.0 kJ/mol of atoms ahead of the next structure.

(w)
# ErPaTcRu

A geometry-optimized ErPaTcRu structure (PBE, Alexandria via LeMat-Bulk).

M_tot = 0.000 μB per atom
Symmetry = P4mm (99)

a = 3.4248 Å, b = 3.4248 Å, c = 6.8526 Å
α = 90.00°, β = 90.00°, γ = 90.00°
With the nearest neighbours (Å) after each atom.
Element x y z (fractional)
Ru1 0.5000 0.5000 0.5789  4 Pa 2.86, 1 Tc 3.03, 4 Er 3.08
Er1 0.0000 0.0000 0.8560  4 Ru 3.08, 4 Tc 3.09, 2 Pa 3.42-3.43, 4 Er 3.42
Tc1 0.5000 0.5000 0.1368  4 Pa 2.85, 1 Ru 3.03, 4 Er 3.09
Pa1 0.0000 0.0000 0.3562  4 Tc 2.85, 4 Ru 2.86

(x)
# ErPaTcRu

A geometry-optimized ErPaTcRu structure (PBE, Alexandria via LeMat-Bulk).

M_tot = 0.000 μB per atom
Symmetry = F-43m (216)

a = 4.8284 Å, b = 4.8284 Å, c = 4.8284 Å
α = 60.00°, β = 60.00°, γ = 60.00°
With the nearest neighbours (Å) after each atom.
Element x y z (fractional)
Tc1 0.2500 0.2500 0.2500  4 Pa 2.96, 4 Er 2.96
Pa1 0.0000 0.0000 0.0000  4 Ru 2.96, 4 Tc 2.96
Er1 0.5000 0.5000 0.5000  4 Tc 2.96, 4 Ru 2.96
Ru1 0.7500 0.7500 0.7500  4 Pa 2.96, 4 Er 2.96

(w) wins, 6.8 kJ/mol of atoms ahead of the next structure.